# MgReAg2 SCAN single point on PBEsol structure
# E_form   48.1 kJ per mole of atoms
data_MgReAg2
_chemical_formula_sum 'Mg1 Re1 Ag2'
_space_group_name_H-M_alt 'P m m m'
_space_group_IT_number 47
_cell_length_a 2.746
_cell_length_b 4.858
_cell_length_c 4.883
_cell_angle_alpha 90.00
_cell_angle_beta 90.00
_cell_angle_gamma 90.00
loop_
_space_group_symop_operation_xyz
'x,y,z'
'-x,-y,-z'
'-x,-y,z'
'x,y,-z'
'x,-y,-z'
'-x,y,z'
'-x,y,-z'
'x,-y,z'
loop_
_atom_site_label
_atom_site_fract_x
_atom_site_fract_y
_atom_site_fract_z
Mg1 0.000 0.000 0.000
Re1 0.500 0.500 0.000
Ag1 0.000 0.500 0.500
Ag2 0.500 0.000 0.500

---

# MgReAg SCAN single point on PBEsol structure
# E_form   117.5 kJ per mole of atoms
# E above lowest polymorph   925 meV/atom
data_MgReAg
_chemical_formula_sum 'Mg4 Re4 Ag4'
_space_group_name_H-M_alt 'F -4 3 m'
_space_group_IT_number 216
_space_group_name_Hall 'F -4 2 3'
_cell_length_a 6.136
_cell_length_b 6.136
_cell_length_c 6.136
_cell_angle_alpha 90.00
_cell_angle_beta 90.00
_cell_angle_gamma 90.00
loop_
_atom_site_label
_atom_site_fract_x
_atom_site_fract_y
_atom_site_fract_z
Mg1 0.000 0.000 0.000
Re1 0.000 0.000 0.500
Ag1 0.250 0.250 0.250

---

# Mg2ReAg SCAN single point on PBEsol structure
# E_form   32.9 kJ per mole of atoms
# E above lowest polymorph   57 meV/atom
data_Mg2ReAg
_chemical_formula_sum 'Mg2 Re1 Ag1'
_space_group_name_H-M_alt 'P m m 2'
_space_group_IT_number 25
_cell_length_a 2.729
_cell_length_b 4.416
_cell_length_c 5.544
_cell_angle_alpha 90.00
_cell_angle_beta 90.00
_cell_angle_gamma 90.00
loop_
_space_group_symop_operation_xyz
'x,y,z'
'-x,-y,z'
'-x,y,z'
'x,-y,z'
loop_
_atom_site_label
_atom_site_fract_x
_atom_site_fract_y
_atom_site_fract_z
Mg1 0.000 0.000 0.000
Mg2 0.500 0.500 0.290
Re1 0.000 0.000 0.502
Ag1 0.500 0.500 0.767

---

# Mg2ReAg SCAN single point on PBEsol structure
# E_form   46.5 kJ per mole of atoms
# E above lowest polymorph   199 meV/atom
data_Mg2ReAg
_chemical_formula_sum 'Mg4 Re2 Ag2'
_space_group_name_H-M_alt 'I -4 m 2'
_space_group_IT_number 119
_space_group_name_Hall 'I -4 -2'
_cell_length_a 3.925
_cell_length_b 3.925
_cell_length_c 8.574
_cell_angle_alpha 90.00
_cell_angle_beta 90.00
_cell_angle_gamma 90.00
loop_
_atom_site_label
_atom_site_fract_x
_atom_site_fract_y
_atom_site_fract_z
Mg1 0.000 0.000 0.000
Mg2 0.000 0.500 0.250
Re1 0.000 0.000 0.500
Ag1 0.000 0.500 0.750

---

# Mg2ReAg SCAN single point on PBEsol structure
# E_form   27.4 kJ per mole of atoms
# E above lowest polymorph   0 meV/atom
data_Mg2ReAg
_chemical_formula_sum 'Mg4 Re2 Ag2'
_space_group_name_H-M_alt 'C m m 2'
_space_group_IT_number 35
_cell_length_a 3.325
_cell_length_b 4.379
_cell_length_c 9.283
_cell_angle_alpha 90.00
_cell_angle_beta 90.00
_cell_angle_gamma 90.00
loop_
_space_group_symop_operation_xyz
'x,y,z'
'-x,-y,z'
'-x,y,z'
'x,-y,z'
'x+1/2,y+1/2,z'
'-x+1/2,-y+1/2,z'
'-x+1/2,y+1/2,z'
'x+1/2,-y+1/2,z'
loop_
_atom_site_label
_atom_site_fract_x
_atom_site_fract_y
_atom_site_fract_z
Mg1 0.000 0.000 0.000
Mg2 0.000 0.500 0.282
Re1 0.000 0.000 0.516
Ag1 0.000 0.500 0.761

---

# MgAg2Rh SCAN single point on PBEsol structure
# E_form   -12.7 kJ per mole of atoms
data_MgAg2Rh
_chemical_formula_sum 'Mg1 Ag2 Rh1'
_space_group_name_H-M_alt 'P 4 m m'
_space_group_IT_number 99
_cell_length_a 3.243
_cell_length_b 3.243
_cell_length_c 6.050
_cell_angle_alpha 90.00
_cell_angle_beta 90.00
_cell_angle_gamma 90.00
loop_
_space_group_symop_operation_xyz
'x,y,z'
'-y,x,z'
'-x,-y,z'
'y,-x,z'
'-x,y,z'
'y,x,z'
'x,-y,z'
'-y,-x,z'
loop_
_atom_site_label
_atom_site_fract_x
_atom_site_fract_y
_atom_site_fract_z
Mg1 0.000 0.000 0.000
Ag1 0.000 0.000 0.473
Ag2 0.500 0.500 0.729
Rh1 0.500 0.500 0.219

---

# MgAg2Rh SCAN single point on PBEsol structure
# E_form   -4.0 kJ per mole of atoms
data_MgAg2Rh
_chemical_formula_sum 'Mg2 Ag4 Rh2'
_space_group_name_H-M_alt 'C 1 2/m 1'
_space_group_IT_number 12
_cell_length_a 5.387
_cell_length_b 9.441
_cell_length_c 2.834
_cell_angle_alpha 90.00
_cell_angle_beta 117.16
_cell_angle_gamma 90.00
loop_
_space_group_symop_operation_xyz
'x,y,z'
'-x,-y,-z'
'-x,y,-z'
'x,-y,z'
'x+1/2,y+1/2,z'
'-x+1/2,-y+1/2,-z'
'-x+1/2,y+1/2,-z'
'x+1/2,-y+1/2,z'
loop_
_atom_site_label
_atom_site_fract_x
_atom_site_fract_y
_atom_site_fract_z
Mg1 0.000 0.000 0.000
Ag1 0.250 0.250 0.500
Rh1 0.000 0.500 0.000

---

# MgAg2Rh SCAN single point on PBEsol structure
# E_form   -15.0 kJ per mole of atoms
data_MgAg2Rh
_chemical_formula_sum 'Mg1 Ag2 Rh1'
_space_group_name_H-M_alt 'P 4/m m m'
_space_group_IT_number 123
_space_group_name_Hall '-P 4 2'
_cell_length_a 3.893
_cell_length_b 3.893
_cell_length_c 4.157
_cell_angle_alpha 90.00
_cell_angle_beta 90.00
_cell_angle_gamma 90.00
loop_
_atom_site_label
_atom_site_fract_x
_atom_site_fract_y
_atom_site_fract_z
Mg1 0.000 0.000 0.000
Ag1 0.000 0.500 0.500
Rh1 0.500 0.500 0.000

---

# Mg2AgRh SCAN single point on PBEsol structure
# E_form   -33.7 kJ per mole of atoms
data_Mg2AgRh
_chemical_formula_sum 'Mg4 Ag2 Rh2'
_space_group_name_H-M_alt 'C 1 m 1'
_space_group_IT_number 8
_cell_length_a 9.762
_cell_length_b 3.110
_cell_length_c 4.527
_cell_angle_alpha 90.00
_cell_angle_beta 108.19
_cell_angle_gamma 90.00
loop_
_space_group_symop_operation_xyz
'x,y,z'
'x,-y,z'
'x+1/2,y+1/2,z'
'x+1/2,-y+1/2,z'
loop_
_atom_site_label
_atom_site_fract_x
_atom_site_fract_y
_atom_site_fract_z
Mg1 0.000 0.000 0.000
Mg2 0.225 0.000 0.646
Ag1 0.250 0.500 0.167
Rh1 0.490 0.000 0.502

---

# Mg2AgRh SCAN single point on PBEsol structure
# E_form   -43.5 kJ per mole of atoms
data_Mg2AgRh
_chemical_formula_sum 'Mg2 Ag1 Rh1'
_space_group_name_H-M_alt 'P 4/m m m'
_space_group_IT_number 123
_space_group_name_Hall '-P 4 2'
_cell_length_a 3.172
_cell_length_b 3.172
_cell_length_c 6.391
_cell_angle_alpha 90.00
_cell_angle_beta 90.00
_cell_angle_gamma 90.00
loop_
_atom_site_label
_atom_site_fract_x
_atom_site_fract_y
_atom_site_fract_z
Mg1 0.000 0.000 0.227
Ag1 0.500 0.500 0.500
Rh1 0.500 0.500 0.000

---

# Mg3AgRh SCAN single point on PBEsol structure
# E_form   51.3 kJ per mole of atoms
data_Mg3AgRh
_chemical_formula_sum 'Mg3 Ag1 Rh1'
_space_group_name_H-M_alt 'P m -3 m'
_space_group_IT_number 221
_space_group_name_Hall '-P 4 2 3'
_cell_length_a 4.821
_cell_length_b 4.821
_cell_length_c 4.821
_cell_angle_alpha 90.00
_cell_angle_beta 90.00
_cell_angle_gamma 90.00
loop_
_atom_site_label
_atom_site_fract_x
_atom_site_fract_y
_atom_site_fract_z
Mg1 0.000 0.000 0.500
Ag1 0.000 0.000 0.000
Rh1 0.500 0.500 0.500

---

# MgScAg2Ru SCAN single point on PBEsol structure
# E_form   64.4 kJ per mole of atoms
data_MgScAg2Ru
_chemical_formula_sum 'Mg1 Sc1 Ag2 Ru1'
_space_group_name_H-M_alt 'P 4/m m m'
_space_group_IT_number 123
_space_group_name_Hall '-P 4 2'
_cell_length_a 4.590
_cell_length_b 4.590
_cell_length_c 4.654
_cell_angle_alpha 90.00
_cell_angle_beta 90.00
_cell_angle_gamma 90.00
loop_
_atom_site_label
_atom_site_fract_x
_atom_site_fract_y
_atom_site_fract_z
Mg1 0.000 0.000 0.000
Sc1 0.500 0.500 0.500
Ag1 0.000 0.500 0.000
Ru1 0.000 0.000 0.500

---

# MgAg2Sb SCAN single point on PBEsol structure
# Formation energy (no corrections)   -0.133 eV/atom
data_MgAg2Sb
_chemical_formula_sum 'Mg1 Ag2 Sb1'
_space_group_name_H-M_alt 'P 4/m m m'
_space_group_IT_number 123
_space_group_name_Hall '-P 4 2'
_cell_length_a 4.234
_cell_length_b 4.234
_cell_length_c 4.288
_cell_angle_alpha 90.00
_cell_angle_beta 90.00
_cell_angle_gamma 90.00
loop_
_atom_site_label
_atom_site_fract_x
_atom_site_fract_y
_atom_site_fract_z
Mg1 0.000 0.000 0.000
Ag1 0.000 0.500 0.500
Sb1 0.500 0.500 0.000

---

# MgAgSb2 SCAN single point on PBEsol structure
# Formation energy (no corrections)   -0.043 eV/atom
data_MgAgSb2
_chemical_formula_sum 'Mg1 Ag1 Sb2'
_space_group_name_H-M_alt 'P m m 2'
_space_group_IT_number 25
_cell_length_a 3.115
_cell_length_b 4.168
_cell_length_c 7.099
_cell_angle_alpha 90.00
_cell_angle_beta 90.00
_cell_angle_gamma 90.00
loop_
_space_group_symop_operation_xyz
'x,y,z'
'-x,-y,z'
'-x,y,z'
'x,-y,z'
loop_
_atom_site_label
_atom_site_fract_x
_atom_site_fract_y
_atom_site_fract_z
Mg1 0.000 0.000 0.000
Ag1 0.500 0.500 0.787
Sb1 0.000 0.000 0.578
Sb2 0.500 0.500 0.211

---

# MgAg2Sb SCAN single point on PBEsol structure
# Formation energy (no corrections)   0.025 eV/atom
data_MgAg2Sb
_chemical_formula_sum 'Mg3 Ag6 Sb3'
_space_group_name_H-M_alt 'R -3 m'
_space_group_IT_number 166
_space_group_name_Hall '-R 3 2"'
_cell_length_a 3.1714
_cell_length_b 3.1714
_cell_length_c 27.5538
_cell_angle_alpha 90.00
_cell_angle_beta 90.00
_cell_angle_gamma 120.00
loop_
_atom_site_label
_atom_site_fract_x
_atom_site_fract_y
_atom_site_fract_z
Mg1 0.0000 0.0000 0.0000
Ag1 0.0000 0.0000 0.2542
Sb1 0.0000 0.0000 0.5000

---

# MgAg2Sb SCAN single point on PBEsol structure
# Formation energy (no corrections)   -0.090 eV/atom
data_MgAg2Sb
_chemical_formula_sum 'Mg2 Ag4 Sb2'
_space_group_name_H-M_alt 'C 1 2/m 1'
_space_group_IT_number 12
_cell_length_a 9.340
_cell_length_b 3.104
_cell_length_c 5.500
_cell_angle_alpha 90.00
_cell_angle_beta 99.53
_cell_angle_gamma 90.00
loop_
_space_group_symop_operation_xyz
'x,y,z'
'-x,-y,-z'
'-x,y,-z'
'x,-y,z'
'x+1/2,y+1/2,z'
'-x+1/2,-y+1/2,-z'
'-x+1/2,y+1/2,-z'
'x+1/2,-y+1/2,z'
loop_
_atom_site_label
_atom_site_fract_x
_atom_site_fract_y
_atom_site_fract_z
Mg1 0.000 0.000 0.000
Ag1 0.243 0.500 0.221
Sb1 0.000 0.500 0.500